The following is a DFT calculation (PBE) of an optimized crystal structure of NbN4.

Properties
The uncorrected formation energy comes out at 999 kJ/mol of formula units. The volume comes out at 14.2 Å³/atom. The space group is Pm-3m, No. 221.

a b c (Å): 4.1395 4.1395 4.1395
angles (deg): 90.00 90.00 90.00
Positions (direct):
Nb1 0.0000 0.0000 0.0000
N1 0.0000 0.0000 0.5000
N2 0.0000 0.5000 0.0000
N3 0.5000 0.0000 0.0000
N4 0.5000 0.5000 0.5000